(A)
This record from Alexandria via LeMat-Bulk describes a relaxed AlFe5 crystal. The functional is PBE.

Cell lengths 2.972, 3.989, 6.307 Å; angles 108.44, 90.00, 90.00 degrees
Last column: magnetic moment on the atom in μB.
Atoms (fractional coordinates):
Fe  0.000  0.336  0.672  2.42
Fe  0.500  0.829  0.658  2.29
Fe  0.000  0.664  0.328  2.42
Fe  0.500  0.500  0.000  2.02
Fe  0.500  0.171  0.342  2.29
Al  0.000  0.000  0.000  -0.08

Summary:
The value obtained for the density is 7.17 g/cm³. For the density of states at the Fermi level, the calculation gives 0.800 states/eV/atom. As for the space group: Cmmm.



(B)
This record from Alexandria via LeMat-Bulk describes a relaxed AlFe5 crystal. The functional is PBE.

Cell lengths 4.415, 4.415, 4.278 Å; angles 90.00, 90.00, 120.00 degrees
Last column: magnetic moment on the atom in μB.
Atoms (fractional coordinates):
Fe  0.658  0.000  0.000  2.35
Fe  0.333  0.667  0.500  2.34
Fe  0.342  0.342  0.000  2.35
Fe  0.667  0.333  0.500  2.34
Fe  0.000  0.658  0.000  2.35
Al  0.000  0.000  0.500  -0.07

Summary:
The value obtained for the density is 7.04 g/cm³. For the density of states at the Fermi level, the calculation gives 1.151 states/eV/atom. As for the space group: P-62m.



Quick one: least stable of them? (B)



(A)
This record from Alexandria via LeMat-Bulk describes a relaxed AlFe5 crystal. The functional is PBE.

Cell lengths 6.177, 6.177, 4.028 Å; angles 90.00, 90.00, 152.78 degrees
Last column: magnetic moment on the atom in μB.
Atoms (fractional coordinates):
Fe  0.137  0.863  0.500  2.31
Fe  0.472  0.528  0.500  1.94
Fe  0.644  0.356  0.000  2.14
Fe  0.808  0.192  0.500  2.31
Fe  0.301  0.699  0.000  2.14
Al  0.972  0.028  0.000  -0.07

Summary:
The value obtained for the density is 7.23 g/cm³. For the density of states at the Fermi level, the calculation gives 0.850 states/eV/atom. As for the space group: Cmmm.



(B)
This record from Alexandria via LeMat-Bulk describes a relaxed AlFe5 crystal. The functional is PBE.

Cell lengths 2.927, 2.927, 8.323 Å; angles 90.00, 90.00, 90.00 degrees
Last column: magnetic moment on the atom in μB.
Atoms (fractional coordinates):
Al  0.500  0.500  0.000  -0.06
Fe  0.500  0.500  0.332  2.44
Fe  0.000  0.000  0.500  2.50
Fe  0.000  0.000  0.826  2.06
Fe  0.500  0.500  0.668  2.44
Fe  0.000  0.000  0.174  2.06

Summary:
The value obtained for the density is 7.13 g/cm³. For the density of states at the Fermi level, the calculation gives 1.042 states/eV/atom. As for the space group: P4/mmm.



Quick one: least stable of them? (B)